Entry 1:
! CaPu4Rh4, optimized geometry, DFT PBE; values from VASP
&SYSTEM
  ibrav = 0, nat = 18, ntyp = 3
/
ATOMIC_SPECIES
Rh 102.91 Rh.upf
Ca 40.08 Ca.upf
Pu 244.00 Pu.upf
CELL_PARAMETERS angstrom
4.485 0.000 0.000
0.000 9.648 0.000
0.000 0.000 9.648
ATOMIC_POSITIONS angstrom
Rh 2.243 8.905 1.881
Rh 2.243 0.743 7.767
Rh 0.000 5.567 2.943
Rh 0.000 2.943 4.081
Rh 0.000 6.705 5.567
Rh 2.243 7.767 8.905
Rh 0.000 4.081 6.705
Rh 2.243 1.881 0.743
Ca 2.243 4.824 4.824
Ca 0.000 0.000 0.000
Pu 2.243 6.114 1.458
Pu 4.485 3.366 1.290
Pu 0.000 1.290 6.282
Pu 2.243 8.190 6.114
Pu 2.243 1.458 3.534
Pu 0.000 8.358 3.366
Pu 2.243 3.534 8.190
Pu 4.485 6.282 8.358
! Total magnetic moment, μB per formula unit: 20.9
! Space-group type: No. 87
! Calculated formation energy, kJ per mole of atoms: -28.0



Entry 2:
! CaPu2Rh2, optimized geometry, DFT PBE; values from VASP
&SYSTEM
  ibrav = 0, nat = 10, ntyp = 3
/
ATOMIC_SPECIES
Rh 102.91 Rh.upf
Ca 40.08 Ca.upf
Pu 244.00 Pu.upf
CELL_PARAMETERS angstrom
4.700 0.000 1.419
0.788 8.619 5.881
-0.624 8.332 10.556
ATOMIC_POSITIONS angstrom
Rh 1.722 15.039 15.511
Rh 0.867 10.388 9.852
Rh 3.142 1.913 2.345
Rh 3.996 6.563 8.004
Ca 1.610 8.548 7.405
Ca 3.253 8.404 10.451
Pu 2.457 13.746 13.094
Pu 0.141 11.682 12.271
Pu 4.722 5.270 5.585
Pu 2.407 3.206 4.762
! Total magnetic moment, μB per formula unit: 10.2
! Space-group type: No. 69
! Calculated formation energy, kJ per mole of atoms: -32.0
! Distance to the lowest polymorph of the same formula, meV/atom: 0



Entry 3:
! Ca2PuRh9, optimized geometry, DFT PBE; values from VASP
&SYSTEM
  ibrav = 0, nat = 12, ntyp = 3
/
ATOMIC_SPECIES
Rh 102.91 Rh.upf
Ca 40.08 Ca.upf
Pu 244.00 Pu.upf
CELL_PARAMETERS angstrom
-4.204 -3.150 -0.407
-0.509 -4.143 3.216
-5.891 2.589 6.719
ATOMIC_POSITIONS angstrom
Rh -6.933 -0.220 5.102
Rh -1.574 -2.427 0.941
Rh -3.672 -4.485 4.426
Rh -7.186 -2.284 6.704
Rh -9.030 -2.277 8.587
Rh -5.513 -3.990 2.621
Rh -3.418 -2.420 2.823
Rh -5.091 -0.714 6.907
Rh -5.302 -2.352 4.764
Ca -4.065 0.467 4.275
Ca -6.539 -5.171 5.253
Pu 0.000 0.000 0.000
! Total magnetic moment, μB per formula unit: 3.8
! Space-group type: No. 166
! Calculated formation energy, kJ per mole of atoms: -29.0



Entry 4:
! Ca2Pu2Rh3, optimized geometry, DFT PBE; values from VASP
&SYSTEM
  ibrav = 0, nat = 7, ntyp = 3
/
ATOMIC_SPECIES
Rh 102.91 Rh.upf
Pu 244.00 Pu.upf
Ca 40.08 Ca.upf
CELL_PARAMETERS angstrom
-0.593 -4.157 -0.427
5.388 1.598 -2.165
2.963 1.068 6.347
ATOMIC_POSITIONS angstrom
Rh 3.755 -2.705 0.270
Rh 4.003 1.214 3.486
Rh 0.000 0.000 0.000
Pu 3.746 -0.408 -1.215
Pu 4.012 -1.082 4.970
Ca 2.091 -0.489 1.868
Ca 5.667 -1.001 1.888
! Total magnetic moment, μB per formula unit: 10.2
! Space-group type: No. 12
! Calculated formation energy, kJ per mole of atoms: -39.1



Entry 5:
! Ca2PuZn2Rh5, optimized geometry, DFT PBE; values from VASP
&SYSTEM
  ibrav = 0, nat = 20, ntyp = 4
/
ATOMIC_SPECIES
Zn 65.41 Zn.upf
Rh 102.91 Rh.upf
Ca 40.08 Ca.upf
Pu 244.00 Pu.upf
CELL_PARAMETERS angstrom
3.725 0.000 0.000
0.000 9.779 0.000
0.000 0.000 9.779
ATOMIC_POSITIONS angstrom
Zn 0.000 3.677 1.212
Zn 0.000 8.567 3.677
Zn 0.000 6.102 8.567
Zn 0.000 1.212 6.102
Rh 1.862 4.890 0.000
Rh 1.862 9.121 1.987
Rh 1.862 6.877 4.231
Rh 1.862 5.548 6.877
Rh 1.862 0.659 7.792
Rh 1.862 0.000 4.890
Rh 1.862 4.231 2.902
Rh 1.862 2.902 5.548
Rh 1.862 7.792 9.121
Rh 1.862 1.987 0.659
Ca 0.000 1.677 3.213
Ca 0.000 6.566 1.677
Ca 0.000 8.102 6.566
Ca 0.000 3.213 8.102
Pu 0.000 0.000 0.000
Pu 0.000 4.890 4.890
! Total magnetic moment, μB per formula unit: 3.9
! Space-group type: No. 127
! Calculated formation energy, kJ per mole of atoms: -42.3



Entry 6:
! CaPuRu2, optimized geometry, DFT PBE; values from VASP
&SYSTEM
  ibrav = 0, nat = 16, ntyp = 3
/
ATOMIC_SPECIES
Pu 244.00 Pu.upf
Ru 101.07 Ru.upf
Ca 40.08 Ca.upf
CELL_PARAMETERS angstrom
-3.755 4.451 -0.043
-0.874 -0.793 -5.743
-6.952 -5.812 5.421
ATOMIC_POSITIONS angstrom
Pu -6.191 1.228 -1.015
Pu -5.390 -3.382 0.650
Pu -6.617 -4.379 4.597
Pu -4.964 2.225 -4.962
Ru -4.814 -3.205 3.159
Ru -6.657 -0.289 0.739
Ru -9.452 -2.610 4.461
Ru -6.767 1.051 -3.524
Ru -4.716 2.791 -2.456
Ru -6.865 -4.945 2.092
Ru -2.129 0.457 -4.826
Ru -4.924 -1.865 -1.104
Ca -7.722 -1.741 -1.972
Ca -8.740 -2.568 1.435
Ca -2.841 0.414 -1.800
Ca -3.860 -0.412 1.607
! Total magnetic moment, μB per formula unit: 3.4
! Space-group type: No. 13
! Calculated formation energy, kJ per mole of atoms: 3.3



Entry 7:
! CaPuRu2, optimized geometry, DFT PBE; values from VASP
&SYSTEM
  ibrav = 0, nat = 4, ntyp = 3
/
ATOMIC_SPECIES
Ru 101.07 Ru.upf
Ca 40.08 Ca.upf
Pu 244.00 Pu.upf
CELL_PARAMETERS angstrom
-1.791 -2.604 -1.202
3.418 -2.995 1.396
-2.140 -0.476 4.219
ATOMIC_POSITIONS angstrom
Ru 1.709 -1.498 0.698
Ru -1.070 -0.238 2.109
Ca -0.896 -1.302 -0.601
Pu -0.256 -3.038 2.206
! Total magnetic moment, μB per formula unit: 3.6
! Space-group type: No. 123
! Calculated formation energy, kJ per mole of atoms: 8.7



Entry 8:
! CaPuRu2, optimized geometry, DFT PBE; values from VASP
&SYSTEM
  ibrav = 0, nat = 4, ntyp = 3
/
ATOMIC_SPECIES
Ca 40.08 Ca.upf
Ru 101.07 Ru.upf
Pu 244.00 Pu.upf
CELL_PARAMETERS angstrom
-2.320 2.335 0.605
0.224 -0.627 3.280
5.086 4.900 0.589
ATOMIC_POSITIONS angstrom
Ca 1.495 3.304 2.237
Ru 1.070 1.031 0.124
Ru 4.016 3.869 0.465
Pu -1.048 0.854 1.942
! Total magnetic moment, μB per formula unit: 3.4
! Space-group type: No. 123
! Calculated formation energy, kJ per mole of atoms: -4.1